1.
{"formula": "LiTbGa2Au4", "functional": "GGA-PBE", "state": "relaxed", "cell": [[2.267, 1.309, 8.292], [-2.267, 1.309, 8.292], [0.000, -2.618, 8.292]], "species": ["Li", "Tb", "Ga", "Ga", "Au", "Au", "Au", "Au"], "fractional_positions": [[0.000, 0.000, 0.000], [0.500, 0.500, 0.500], [0.256, 0.256, 0.256], [0.744, 0.744, 0.744], [0.106, 0.106, 0.106], [0.367, 0.367, 0.367], [0.633, 0.633, 0.633], [0.894, 0.894, 0.894]], "formation_energy_mev_per_atom": -550, "dos_at_fermi_per_ev_fu": 3.152, "m_tot_mub_per_fu": 0.00}

---

2.
{"formula": "GaH2Br", "functional": "GGA-PBE", "state": "relaxed", "cell": [[6.213, 0.000, 0.000], [0.000, 4.872, 0.000], [-6.211, 0.000, 11.281]], "species": ["Ga", "Ga", "Ga", "Ga", "H", "H", "H", "H", "H", "H", "H", "H", "Br", "Br", "Br", "Br"], "fractional_positions": [[0.142, 0.000, 0.391], [0.142, 0.500, 0.891], [0.858, 0.000, 0.609], [0.858, 0.500, 0.109], [0.045, 0.225, 0.443], [0.045, 0.275, 0.943], [0.341, 0.725, 0.943], [0.341, 0.775, 0.443], [0.659, 0.225, 0.557], [0.659, 0.275, 0.057], [0.955, 0.725, 0.057], [0.955, 0.775, 0.557], [0.245, 0.250, 0.250], [0.245, 0.250, 0.750], [0.755, 0.750, 0.250], [0.755, 0.750, 0.750]], "de_polymorph_ev_per_atom": 0.000, "dos_at_fermi_per_ev_fu": 0.000, "m_tot_mub_per_fu": 0.00}

---

3.
{"formula": "BaAsPt2", "functional": "GGA-PBE", "state": "relaxed", "cell": [[4.457, 0.000, 0.000], [0.000, 11.941, 0.000], [0.000, 0.000, 7.242]], "species": ["Ba", "Ba", "Ba", "Ba", "As", "As", "As", "As", "Pt", "Pt", "Pt", "Pt", "Pt", "Pt", "Pt", "Pt"], "fractional_positions": [[0.000, 0.057, 0.250], [0.000, 0.943, 0.750], [0.500, 0.443, 0.750], [0.500, 0.557, 0.250], [0.000, 0.218, 0.750], [0.000, 0.782, 0.250], [0.500, 0.282, 0.250], [0.500, 0.718, 0.750], [0.000, 0.318, 0.058], [0.000, 0.318, 0.442], [0.000, 0.682, 0.558], [0.000, 0.682, 0.942], [0.500, 0.182, 0.558], [0.500, 0.182, 0.942], [0.500, 0.818, 0.058], [0.500, 0.818, 0.442]], "formation_energy_mev_per_atom": -630, "dos_at_fermi_per_ev_fu": 2.792, "m_tot_mub_per_fu": 0.00}

---

4.
{"formula": "Rb2Sc3UO8", "functional": "GGA-PBE", "state": "relaxed", "cell": [[3.382, 1.953, 6.746], [-3.382, 1.953, 6.746], [0.000, -3.905, 6.746]], "species": ["Rb", "Rb", "Sc", "Sc", "Sc", "U", "O", "O", "O", "O", "O", "O", "O", "O"], "fractional_positions": [[0.000, 0.000, 0.000], [0.361, 0.361, 0.361], [0.337, 0.337, 0.883], [0.337, 0.883, 0.337], [0.883, 0.337, 0.337], [0.824, 0.824, 0.824], [0.072, 0.072, 0.556], [0.072, 0.556, 0.072], [0.133, 0.133, 0.133], [0.195, 0.624, 0.624], [0.556, 0.072, 0.072], [0.624, 0.195, 0.624], [0.624, 0.624, 0.195], [0.730, 0.730, 0.730]], "dos_at_fermi_per_ev_fu": 7.721, "formation_energy_uncorrected_ev_per_atom": -2.84, "m_tot_mub_per_fu": 1.00}

---

5.
{"formula": "CePuO5", "functional": "GGA-PBE", "state": "relaxed", "cell": [[4.653, -3.364, 0.000], [4.653, 3.364, 0.000], [-3.412, 0.000, 7.189]], "species": ["Ce", "Ce", "Pu", "Pu", "O", "O", "O", "O", "O", "O", "O", "O", "O", "O"], "fractional_positions": [[0.035, 0.965, 0.750], [0.965, 0.035, 0.250], [0.500, 0.500, 0.000], [0.500, 0.500, 0.500], [0.183, 0.799, 0.042], [0.201, 0.817, 0.458], [0.256, 0.288, 0.381], [0.288, 0.256, 0.881], [0.382, 0.618, 0.750], [0.618, 0.382, 0.250], [0.712, 0.744, 0.119], [0.744, 0.712, 0.619], [0.799, 0.183, 0.542], [0.817, 0.201, 0.958]], "dos_at_fermi_per_ev_fu": 4.443, "formation_energy_uncorrected_ev_per_atom": -2.86, "m_tot_mub_per_fu": 2.00}

---

6.
{"formula": "Pr2ZrSb3Rh4", "functional": "GGA-PBE", "state": "relaxed", "cell": [[4.383, 0.000, 0.000], [0.000, 4.383, 0.000], [0.000, 0.000, 11.308]], "species": ["Pr", "Pr", "Zr", "Sb", "Sb", "Sb", "Rh", "Rh", "Rh", "Rh"], "fractional_positions": [[0.000, 0.500, 0.235], [0.500, 0.000, 0.765], [0.000, 0.000, 0.500], [0.000, 0.500, 0.866], [0.500, 0.000, 0.134], [0.500, 0.500, 0.500], [0.000, 0.000, 0.000], [0.000, 0.500, 0.637], [0.500, 0.000, 0.363], [0.500, 0.500, 0.000]], "dos_at_fermi_per_ev_fu": 7.622, "formation_energy_uncorrected_ev_per_atom": -0.86, "m_tot_mub_per_fu": 0.00}

---

7.
{"formula": "CdCu2O", "functional": "GGA-PBE", "state": "relaxed", "cell": [[5.980, 0.000, 0.000], [0.000, 5.980, 0.000], [0.000, 0.000, 5.980]], "species": ["Cd", "Cd", "Cd", "Cd", "Cu", "Cu", "Cu", "Cu", "Cu", "Cu", "Cu", "Cu", "O", "O", "O", "O"], "fractional_positions": [[0.000, 0.000, 0.000], [0.000, 0.500, 0.500], [0.500, 0.000, 0.500], [0.500, 0.500, 0.000], [0.250, 0.250, 0.250], [0.250, 0.250, 0.750], [0.250, 0.750, 0.250], [0.250, 0.750, 0.750], [0.750, 0.250, 0.250], [0.750, 0.250, 0.750], [0.750, 0.750, 0.250], [0.750, 0.750, 0.750], [0.000, 0.000, 0.500], [0.000, 0.500, 0.000], [0.500, 0.000, 0.000], [0.500, 0.500, 0.500]], "de_polymorph_ev_per_atom": 0.449, "dos_at_fermi_per_ev_fu": 0.064, "formation_energy_uncorrected_ev_per_atom": 0.24, "m_tot_mub_per_fu": 0.00}

---

8.
{"formula": "NaNd2PdO6", "functional": "GGA-PBE", "state": "relaxed", "cell": [[5.554, 0.000, 0.000], [0.000, 6.013, 0.000], [-5.440, 0.000, 7.952]], "species": ["Na", "Na", "Nd", "Nd", "Nd", "Nd", "Pd", "Pd", "O", "O", "O", "O", "O", "O", "O", "O", "O", "O", "O", "O"], "fractional_positions": [[0.000, 0.000, 0.000], [0.000, 0.500, 0.500], [0.225, 0.078, 0.747], [0.225, 0.422, 0.247], [0.775, 0.578, 0.753], [0.775, 0.922, 0.253], [0.500, 0.000, 0.500], [0.500, 0.500, 0.000], [0.147, 0.174, 0.446], [0.147, 0.326, 0.946], [0.268, 0.714, 0.432], [0.268, 0.786, 0.932], [0.389, 0.049, 0.265], [0.389, 0.451, 0.765], [0.611, 0.549, 0.235], [0.611, 0.951, 0.735], [0.732, 0.214, 0.068], [0.732, 0.286, 0.568], [0.853, 0.674, 0.054], [0.853, 0.826, 0.554]], "dos_at_fermi_per_ev_fu": 9.231, "formation_energy_uncorrected_ev_per_atom": -2.02, "m_tot_mub_per_fu": 0.73}

---

9.
{"formula": "Ga2Tc2Os", "functional": "GGA-PBE", "state": "relaxed", "cell": [[6.844, 0.000, 0.000], [0.000, 6.844, 0.000], [0.000, 0.000, 3.104]], "species": ["Ga", "Ga", "Ga", "Ga", "Tc", "Tc", "Tc", "Tc", "Os", "Os"], "fractional_positions": [[0.134, 0.366, 0.000], [0.366, 0.866, 0.000], [0.634, 0.134, 0.000], [0.866, 0.634, 0.000], [0.166, 0.666, 0.500], [0.334, 0.166, 0.500], [0.666, 0.834, 0.500], [0.834, 0.334, 0.500], [0.000, 0.000, 0.000], [0.500, 0.500, 0.000]], "formation_energy_mev_per_atom": 215, "dos_at_fermi_per_ev_fu": 4.138, "m_tot_mub_per_fu": 0.00}

---

10.
{"formula": "Ca8TlN5", "functional": "GGA-PBE", "state": "relaxed", "cell": [[9.202, -1.822, 0.000], [9.202, 1.822, 0.000], [-2.354, 0.000, 8.711]], "species": ["Ca", "Ca", "Ca", "Ca", "Ca", "Ca", "Ca", "Ca", "Tl", "N", "N", "N", "N", "N"], "fractional_positions": [[0.080, 0.080, 0.127], [0.268, 0.268, 0.856], [0.323, 0.323, 0.525], [0.414, 0.414, 0.165], [0.586, 0.586, 0.835], [0.677, 0.677, 0.475], [0.732, 0.732, 0.144], [0.920, 0.920, 0.873], [0.000, 0.000, 0.500], [0.158, 0.158, 0.948], [0.202, 0.202, 0.331], [0.500, 0.500, 0.000], [0.798, 0.798, 0.669], [0.842, 0.842, 0.052]], "dos_at_fermi_per_ev_fu": 3.912, "formation_energy_uncorrected_ev_per_atom": -0.71, "m_tot_mub_per_fu": 0.00}

---

11.
{"formula": "Cs6NaAuO", "functional": "GGA-PBE", "state": "relaxed", "cell": [[8.943, 0.000, 0.000], [-4.471, 7.745, 0.000], [0.000, 0.000, 17.368]], "species": ["Cs", "Cs", "Cs", "Cs", "Cs", "Cs", "Cs", "Cs", "Cs", "Cs", "Cs", "Cs", "Na", "Na", "Au", "Au", "O", "O"], "fractional_positions": [[0.052, 0.412, 0.150], [0.052, 0.640, 0.350], [0.360, 0.412, 0.350], [0.360, 0.948, 0.150], [0.412, 0.052, 0.650], [0.412, 0.360, 0.850], [0.588, 0.640, 0.150], [0.588, 0.948, 0.350], [0.640, 0.052, 0.850], [0.640, 0.588, 0.650], [0.948, 0.360, 0.650], [0.948, 0.588, 0.850], [0.000, 0.000, 0.000], [0.000, 0.000, 0.500], [0.333, 0.667, 0.750], [0.667, 0.333, 0.250], [0.333, 0.667, 0.250], [0.667, 0.333, 0.750]], "dos_at_fermi_per_ev_fu": 6.104, "formation_energy_uncorrected_ev_per_atom": -0.39, "m_tot_mub_per_fu": 0.41}